1.
Te2RhCI, optimized geometry, DFT PBE; DFT total energy = -3.51 eV per atom; formation energy from raw total energies = 1.376 eV/atom; ΔE to the lowest computed polymorph = 0.00 eV/f.u.
1.0
4.705 0.000 0.000
0.000 4.705 0.000
0.000 0.000 4.847
I C Te Rh
1 1 2 1
Direct
0.000 0.000 0.500
0.000 0.000 0.000
0.000 0.500 0.000
0.500 0.000 0.000
0.500 0.500 0.500


2.
Sc2NiHCl, optimized geometry, DFT PBE; DFT total energy = -4.68 eV per atom
1.0
-3.311 -1.772 -3.171
1.736 -2.794 -0.251
-2.551 -1.921 3.737
Sc Ni H Cl
2 1 1 1
Direct
0.000 0.000 0.500
0.500 0.000 0.000
0.500 0.500 0.500
0.000 0.500 0.000
0.000 0.000 0.000